1.
This record from OQMD describes a relaxed LaAgSb2 crystal. The functional is PBE.

Values from the calculation:
Final energy: -38.02 eV/cell
Magnetization: 0.0 Bohr magnetons per cell
Crystal system: tetragonal
Space group: P4/nmm, No. 129

a = 4.426 Å, b = 4.426 Å, c = 10.853 Å
α = 90.00°, β = 90.00°, γ = 90.00°
Atoms (fractional coordinates):
Sb1 0.250 0.750 0.500
Sb2 0.250 0.250 0.172
Sb3 0.750 0.750 0.828
Sb4 0.750 0.250 0.500
Ag1 0.250 0.750 0.000
Ag2 0.750 0.250 0.000
La1 0.250 0.250 0.739
La2 0.750 0.750 0.261



2.
This record from OQMD describes a relaxed LaAgSb crystal. The functional is PBE.

Values from the calculation:
Final energy: -13.26 eV/cell
Magnetization: 0.0 Bohr magnetons per cell
Crystal system: cubic
Space group: F-43m, No. 216

a = 5.050 Å, b = 5.050 Å, c = 5.050 Å
α = 60.00°, β = 60.00°, γ = 60.00°
Atoms (fractional coordinates):
Sb1 0.750 0.750 0.750
La1 0.000 0.000 0.000
Ag1 0.500 0.500 0.500



3.
This record from OQMD describes a relaxed LaTbAg2Sb4 crystal. The functional is PBE.

Values from the calculation:
Final energy: -37.21 eV/cell
Magnetization: 0.0 Bohr magnetons per cell
Crystal system: tetragonal
Space group: P4mm, No. 99

a = 4.395 Å, b = 4.395 Å, c = 10.626 Å
α = 90.00°, β = 90.00°, γ = 90.00°
Atoms (fractional coordinates):
Ag1 0.000 0.500 0.495
Ag2 0.500 0.000 0.495
Sb1 0.500 0.000 0.008
Sb2 0.500 0.500 0.674
Sb3 0.000 0.500 0.008
Sb4 0.000 0.000 0.316
Tb1 0.500 0.500 0.239
La1 0.000 0.000 0.764



Question: Which of these has the highest final energy?
Answer: LaAgSb